First-principles (PBE) data for a relaxed MnFe4Te crystal, as listed in Alexandria via LeMat-Bulk.

abc: 4.8667 4.8667 4.8667
angles: 60.00 60.00 60.00
Atoms (fractional coordinates):
Fe: 0.3755 0.3755 0.3755
Fe: 0.8736 0.3755 0.3755
Fe: 0.3755 0.3755 0.8736
Fe: 0.3755 0.8736 0.3755
Mn: 0.7500 0.7500 0.7500
Te: 0.0000 0.0000 0.0000

SG: No. 216
Calculated total energy in eV for the cell shown: -44.6
Raw formation energy in eV/atom: 0.261

First-principles (PBE) data for a relaxed Mn3FeTe6 crystal, as listed in Alexandria via LeMat-Bulk.

abc: 6.8798 6.8798 6.9318
angles: 60.25 60.25 60.00
Atoms (fractional coordinates):
Te: 0.5799 0.9151 0.2548
Te: 0.9151 0.2502 0.2548
Te: 0.0844 0.7593 0.7472
Te: 0.4090 0.0844 0.7472
Te: 0.2502 0.5799 0.2548
Te: 0.7593 0.4090 0.7472
Mn: 0.8330 0.8330 0.5011
Mn: 0.3319 0.3319 0.0042
Mn: 0.6665 0.6665 0.0006
Fe: 0.1707 0.1707 0.4879

SG: No. 146
Calculated total energy in eV for the cell shown: -56.0
Raw formation energy in eV/atom: -0.115

First-principles (PBE) data for a relaxed MnFeTe crystal, as listed in Alexandria via LeMat-Bulk.

abc: 4.1260 4.1260 4.1260
angles: 60.00 60.00 60.00
Atoms (fractional coordinates):
Te: 0.7500 0.7500 0.7500
Fe: 0.0000 0.0000 0.0000
Mn: 0.2500 0.2500 0.2500

SG: No. 216
Energy above the most stable polymorph in this dataset in meV/atom: 0
Calculated total energy in eV for the cell shown: -20.7
Raw formation energy in eV/atom: 0.038

First-principles (PBE) data for a relaxed MnFeTe crystal, as listed in Alexandria via LeMat-Bulk.

abc: 4.7284 4.7284 4.7284
angles: 137.22 137.22 62.11
Atoms (fractional coordinates):
Te: 0.6669 0.6669 0.0000
Fe: 0.9960 0.9960 0.0000
Mn: 0.3371 0.3371 0.0000

SG: No. 107
Energy above the most stable polymorph in this dataset in meV/atom: 234
Calculated total energy in eV for the cell shown: -20.0
Raw formation energy in eV/atom: 0.272

First-principles (PBE) data for a relaxed Mn2FeTe crystal, as listed in Alexandria via LeMat-Bulk.

abc: 5.2037 5.2037 3.0253
angles: 74.31 74.31 117.59
Atoms (fractional coordinates):
Mn: 0.0000 0.0000 0.0000
Mn: 0.5000 0.5000 0.0000
Te: 0.5000 0.0000 0.5000
Fe: 0.0000 0.5000 0.5000

SG: No. 12
Calculated total energy in eV for the cell shown: -28.0
Raw formation energy in eV/atom: 0.483

First-principles (PBE) data for a relaxed MnFe2Te crystal, as listed in Alexandria via LeMat-Bulk.

abc: 3.3389 3.3389 5.4533
angles: 90.00 90.00 90.00
Atoms (fractional coordinates):
Te: 0.5000 0.5000 0.7470
Fe: 0.5000 0.5000 0.2460
Fe: 0.0000 0.0000 0.0238
Mn: 0.0000 0.0000 0.4832

SG: No. 99
Calculated total energy in eV for the cell shown: -28.1
Raw formation energy in eV/atom: 0.287

First-principles (PBE) data for a relaxed Mn2FeTe crystal, as listed in Alexandria via LeMat-Bulk.

abc: 7.9579 7.9579 7.9579
angles: 22.90 22.90 22.90
Atoms (fractional coordinates):
Mn: 0.0070 0.0070 0.0070
Mn: 0.4930 0.4930 0.4930
Te: 0.2500 0.2500 0.2500
Fe: 0.7500 0.7500 0.7500

SG: No. 166
Calculated total energy in eV for the cell shown: -27.9
Raw formation energy in eV/atom: 0.522

First-principles (PBE) data for a relaxed MnFe2Te crystal, as listed in Alexandria via LeMat-Bulk.

abc: 7.8764 7.8764 7.8764
angles: 22.95 22.95 22.95
Atoms (fractional coordinates):
Mn: 0.5074 0.5074 0.5074
Te: 0.7456 0.7456 0.7456
Fe: 0.9920 0.9920 0.9920
Fe: 0.2549 0.2549 0.2549

SG: No. 160
Calculated total energy in eV for the cell shown: -27.2
Raw formation energy in eV/atom: 0.516

First-principles (PBE) data for a relaxed Mn3FeTe crystal, as listed in Alexandria via LeMat-Bulk.

abc: 4.4521 4.4521 4.4521
angles: 90.00 90.00 90.00
Atoms (fractional coordinates):
Fe: 0.0000 0.0000 0.0000
Te: 0.5000 0.5000 0.5000
Mn: 0.0000 0.5000 0.0000
Mn: 0.5000 0.0000 0.0000
Mn: 0.0000 0.0000 0.5000

SG: No. 221
Energy above the most stable polymorph in this dataset in meV/atom: 0
Calculated total energy in eV for the cell shown: -35.3
Raw formation energy in eV/atom: 0.772

First-principles (PBE) data for a relaxed MnFe2Te crystal, as listed in Alexandria via LeMat-Bulk.

abc: 4.3204 3.0168 4.7355
angles: 90.18 90.00 90.00
Atoms (fractional coordinates):
Fe: 0.0000 0.9359 0.0349
Fe: 0.0000 0.5641 0.4651
Mn: 0.5000 0.2500 0.2500
Te: 0.5000 0.7500 0.7500

SG: No. 10
Calculated total energy in eV for the cell shown: -27.6
Raw formation energy in eV/atom: 0.405

First-principles (PBE) data for a relaxed Mn4Fe2Te crystal, as listed in Alexandria via LeMat-Bulk.

abc: 4.7513 4.7513 7.1011
angles: 70.45 70.45 90.00
Atoms (fractional coordinates):
Mn: 0.0000 0.5000 0.0000
Mn: 0.7882 0.7882 0.4237
Mn: 0.5000 0.0000 0.0000
Mn: 0.2118 0.2118 0.5763
Fe: 0.4092 0.4092 0.1815
Fe: 0.5908 0.5908 0.8185
Te: 0.0000 0.0000 0.0000

SG: No. 139
Calculated total energy in eV for the cell shown: -48.4
Raw formation energy in eV/atom: 1.189

First-principles (PBE) data for a relaxed MnFe2Te crystal, as listed in Alexandria via LeMat-Bulk.

abc: 4.8735 4.8735 4.0107
angles: 65.35 65.35 43.12
Atoms (fractional coordinates):
Te: 0.2500 0.2500 0.2500
Mn: 0.7500 0.7500 0.7500
Fe: 0.0056 0.0056 0.9948
Fe: 0.4944 0.4944 0.5052

SG: No. 12
Calculated total energy in eV for the cell shown: -28.1
Raw formation energy in eV/atom: 0.276